# GGA+U BaCoCuF6, relaxed
# Total DFT energy (no corrections) ... -89.9 eV/cell
# ρ ... 4.3 g cm⁻³
data_BaCoCuF6
_chemical_formula_sum 'Ba2 Co2 Cu2 F12'
_cell_length_a 5.679
_cell_length_b 9.131
_cell_length_c 5.623
_cell_angle_alpha 90.00
_cell_angle_beta 92.91
_cell_angle_gamma 90.00
_symmetry_space_group_name_H-M 'C 1 2 1'
_symmetry_Int_Tables_number 5
_symmetry_space_group_name_Hall 'C 2y'
loop_
_atom_site_label
_atom_site_type_symbol
_atom_site_fract_x
_atom_site_fract_y
_atom_site_fract_z
Ba1 Ba 0.000 0.000 0.000
Co1 Co 0.000 0.339 0.500
Cu1 Cu 0.000 0.679 0.500
F1 F 0.133 0.520 0.694
F2 F 0.169 0.207 0.737
F3 F 0.184 0.826 0.679